Computed, not measured: a relaxed K2PmCo3F12 crystal at the PBE with a Hubbard U level of DFT.

Unit cell a=7.5563 b=7.5563 c=16.4917 alpha=90.00 beta=90.00 gamma=120.00
Space group R-3m (No. 166, hexagonal axes)
Inequivalent atoms, fractional coordinates:
K 0.0000 0.0000 0.1165 (multiplicity 6)
Pm 0.0000 0.0000 0.5000 (multiplicity 3)
Co 0.0000 0.5000 0.0000 (multiplicity 9)
F 0.0145 0.5072 0.8800 (multiplicity 18)
F 0.0841 0.5420 0.3116 (multiplicity 18)

Summary:
The calculated total energy comes out at -5.15 eV/atom. Its density of states at the Fermi level is 0.39 states/eV/atom. The volume is 15.10 Å³/atom.